# 1
The following is a DFT calculation (PBE-GGA) of a relaxed structure of La2ScSi3Ni12.

a b c (Å): 6.3418 6.3418 6.3418
angles (deg): 84.60 84.60 84.60
Last column: nearest neighbours and their distance in Å.
Sites, in units of the cell vectors:
1 La 0.6391 0.6391 0.6391  6 Ni 2.49-2.78
2 La 0.3609 0.3609 0.3609  6 Ni 2.49-2.78
3 Sc 0.0000 0.0000 0.0000  6 Ni 2.46
4 Si 0.5000 0.0000 0.0000  6 Ni 2.29-2.46
5 Si 0.0000 0.5000 0.0000  6 Ni 2.29-2.46
6 Si 0.0000 0.0000 0.5000  6 Ni 2.29-2.46
7 Ni 0.3761 0.3761 0.9203  2 Ni 2.39-2.65, 2 Si 2.46
8 Ni 0.8100 0.8100 0.3052  1 Si 2.29, 3 Ni 2.39-2.51, 1 Sc 2.46, 1 La 2.49
9 Ni 0.3052 0.8100 0.8100  1 Si 2.29, 3 Ni 2.39-2.51, 1 Sc 2.46, 1 La 2.49
10 Ni 0.9203 0.3761 0.3761  2 Ni 2.39-2.65, 2 Si 2.46
11 Ni 0.8100 0.3052 0.8100  1 Si 2.29, 3 Ni 2.39-2.51, 1 Sc 2.46, 1 La 2.49
12 Ni 0.3761 0.9203 0.3761  2 Ni 2.39-2.65, 2 Si 2.46
13 Ni 0.6239 0.6239 0.0797  2 Ni 2.39-2.65, 2 Si 2.46
14 Ni 0.1900 0.1900 0.6948  1 Si 2.29, 3 Ni 2.39-2.51, 1 Sc 2.46, 1 La 2.49
15 Ni 0.6948 0.1900 0.1900  1 Si 2.29, 3 Ni 2.39-2.51, 1 Sc 2.46, 1 La 2.49
16 Ni 0.0797 0.6239 0.6239  2 Ni 2.39-2.65, 2 Si 2.46
17 Ni 0.1900 0.6948 0.1900  1 Si 2.29, 3 Ni 2.39-2.51, 1 Sc 2.46, 1 La 2.49
18 Ni 0.6239 0.0797 0.6239  2 Ni 2.39-2.65, 2 Si 2.46

Calculated values
N(E_F): 10.0 states/eV per cell
size of the total moment: 0.00 μB per atom
volume: 251.9 Å³ per cell
uncorrected formation energy: -3.76 eV per formula unit
uncorrected energy: -5.866 eV per atom

# 2
The following is a DFT calculation (PBE-GGA) of a relaxed structure of LaScSi2Ni2.

a b c (Å): 4.1596 4.1596 7.0804
angles (deg): 90.00 90.00 120.00
Last column: nearest neighbours and their distance in Å.
Sites, in units of the cell vectors:
1 La 0.0000 0.0000 0.0000  6 Si 3.20, 6 Ni 3.32, 2 Sc 3.54
2 Sc 0.0000 0.0000 0.5000  6 Ni 2.71, 6 Si 2.80
3 Si 0.6667 0.3333 0.7021  4 Ni 2.41-2.68
4 Si 0.3333 0.6667 0.2979  4 Ni 2.41-2.68
5 Ni 0.6667 0.3333 0.3231  4 Si 2.41-2.68
6 Ni 0.3333 0.6667 0.6769  4 Si 2.41-2.68

Calculated values
N(E_F): 3.5 states/eV per cell
size of the total moment: 0.00 μB per atom
volume: 106.1 Å³ per cell
uncorrected formation energy: -4.92 eV per formula unit
uncorrected energy: -6.431 eV per atom

# 3
The following is a DFT calculation (PBE-GGA) of a relaxed structure of SrLa2ScNi.

a b c (Å): 5.5769 5.5769 5.3589
angles (deg): 90.00 90.00 90.00
Last column: nearest neighbours and their distance in Å.
Sites, in units of the cell vectors:
1 Sc 0.0000 0.0000 0.5000  2 Ni 2.68
2 Sr 0.5000 0.5000 0.5000  8 La 3.87, 4 Sc 3.94
3 Ni 0.0000 0.0000 0.0000  2 Sc 2.68, 4 La 2.79
4 La 0.0000 0.5000 0.0000  2 Ni 2.79
5 La 0.5000 0.0000 0.0000  2 Ni 2.79

Calculated values
N(E_F): 7.3 states/eV per cell
size of the total moment: 0.00 μB per atom
volume: 166.7 Å³ per cell
uncorrected energy: -4.741 eV per atom
energy of formation from the pure elements: -0.011 eV/atom

# 4
The following is a DFT calculation (PBE-GGA) of a relaxed structure of SrLaSc2Ni.

a b c (Å): 5.2976 5.2976 5.3090
angles (deg): 90.00 90.00 90.00
Last column: nearest neighbours and their distance in Å.
Sites, in units of the cell vectors:
1 Sc 0.0000 0.5000 0.0000  2 Ni 2.65
2 Sc 0.5000 0.0000 0.0000  2 Ni 2.65
3 Sr 0.5000 0.5000 0.5000  4 La 3.75, 8 Sc 3.75
4 Ni 0.0000 0.0000 0.0000  4 Sc 2.65, 2 La 2.65
5 La 0.0000 0.0000 0.5000  2 Ni 2.65

Calculated values
N(E_F): 6.0 states/eV per cell
size of the total moment: 0.00 μB per atom
volume: 149.0 Å³ per cell
uncorrected energy: -5.025 eV per atom
energy of formation from the pure elements: -0.014 eV/atom